[1]
8
Lattice="4.367 0.000 0.000 0.000 4.367 0.000 0.000 0.000 6.170" Properties=species:S:1:pos:R:3 comment="Li4Ni2SbPb PBE optimized geometry" e_tot_ev_per_atom=-3.650 sg="P-4m2 (115)" pbc="T T T"
Li 0.000 0.000 0.000
Li 0.000 2.184 1.511
Li 2.184 0.000 4.659
Li 2.184 2.184 3.085
Ni 0.000 2.184 4.716
Ni 2.184 0.000 1.454
Sb 2.184 2.184 0.000
Pb 0.000 0.000 3.085

***

[2]
8
Lattice="4.496 0.000 0.000 0.000 4.496 0.000 0.000 0.000 6.363" Properties=species:S:1:pos:R:3 comment="Li2Sc2Ni2SnPb PBE optimized geometry" e_tot_ev_per_atom=-4.923 sg="P-4m2 (115)" pbc="T T T"
Li 0.000 2.248 1.571
Li 2.248 0.000 4.792
Sc 0.000 0.000 0.000
Sc 2.248 2.248 3.181
Ni 0.000 2.248 4.832
Ni 2.248 0.000 1.530
Sn 2.248 2.248 0.000
Pb 0.000 0.000 3.181

***

[3]
8
Lattice="4.103 -4.764 0.000 4.103 4.764 0.000 -4.065 0.000 4.794" Properties=species:S:1:pos:R:3 comment="Li2NiPbSe4 PBE optimized geometry" e_tot_ev_per_atom=-3.846 sg="Cm (8)" pbc="T T T"
Li 4.103 2.389 0.000
Li 4.103 -2.389 0.000
Ni -2.023 0.000 2.443
Pb 2.157 0.000 2.249
Se -3.260 0.000 4.377
Se 3.382 2.889 2.409
Se 4.755 0.000 0.640
Se 3.382 -2.889 2.409

***

[4]
8
Lattice="4.382 0.000 0.000 0.000 4.382 0.000 0.000 0.000 6.204" Properties=species:S:1:pos:R:3 comment="Li4Ni2SnPb PBE optimized geometry" e_tot_ev_per_atom=-3.583 sg="P-4m2 (115)" pbc="T T T"
Li 0.000 0.000 0.000
Li 0.000 2.191 1.519
Li 2.191 0.000 4.684
Li 2.191 2.191 3.102
Ni 0.000 2.191 4.725
Ni 2.191 0.000 1.479
Sn 2.191 2.191 0.000
Pb 0.000 0.000 3.102

***

[5]
8
Lattice="4.662 0.000 0.000 0.000 4.662 0.000 0.000 0.000 6.596" Properties=species:S:1:pos:R:3 comment="Li2Y2Ni2SnPb PBE optimized geometry" e_tot_ev_per_atom=-4.953 sg="P-4m2 (115)" pbc="T T T"
Li 0.000 2.331 1.625
Li 2.331 0.000 4.971
Y 0.000 0.000 0.000
Y 2.331 2.331 3.298
Ni 0.000 2.331 5.010
Ni 2.331 0.000 1.586
Sn 2.331 2.331 0.000
Pb 0.000 0.000 3.298

***

[6]
4
Lattice="0.000 3.242 3.242 3.242 0.000 3.242 3.242 3.242 0.000" Properties=species:S:1:pos:R:3 comment="LiTaNiPb PBE optimized geometry" sg="F-43m (216)" e_above_lowest_polymorph_ev_per_fu=1.04 pbc="T T T"
Li 0.000 0.000 0.000
Ta 1.621 1.621 1.621
Ni 4.862 4.862 4.862
Pb 3.242 3.242 3.242

***

[7]
4
Lattice="0.000 3.152 3.152 3.152 0.000 3.152 3.152 3.152 0.000" Properties=species:S:1:pos:R:3 comment="LiTaNiPb PBE optimized geometry" sg="F-43m (216)" e_above_lowest_polymorph_ev_per_fu=0.00 pbc="T T T"
Li 0.000 0.000 0.000
Ta 4.728 4.728 4.728
Ni 3.152 3.152 3.152
Pb 1.576 1.576 1.576

***

[8]
4
Lattice="0.000 3.363 3.363 3.363 0.000 3.363 3.363 3.363 0.000" Properties=species:S:1:pos:R:3 comment="LiTlNiPb PBE optimized geometry" sg="F-43m (216)" e_above_lowest_polymorph_ev_per_fu=0.00 pbc="T T T"
Li 0.000 0.000 0.000
Tl 5.045 5.045 5.045
Ni 3.363 3.363 3.363
Pb 1.682 1.682 1.682

***

[9]
4
Lattice="0.000 3.476 3.476 3.476 0.000 3.476 3.476 3.476 0.000" Properties=species:S:1:pos:R:3 comment="LiTlNiPb PBE optimized geometry" sg="F-43m (216)" e_above_lowest_polymorph_ev_per_fu=0.85 pbc="T T T"
Li 0.000 0.000 0.000
Tl 5.214 5.214 5.214
Ni 1.738 1.738 1.738
Pb 3.476 3.476 3.476

***

[10]
8
Lattice="4.424 0.000 0.000 0.000 4.424 0.000 0.000 0.000 6.236" Properties=species:S:1:pos:R:3 comment="Li4TlNi2Pb PBE optimized geometry" e_tot_ev_per_atom=-3.258 sg="P-4m2 (115)" pbc="T T T"
Li 0.000 0.000 0.000
Li 0.000 2.212 1.545
Li 2.212 0.000 4.690
Li 2.212 2.212 3.118
Tl 2.212 2.212 0.000
Ni 0.000 2.212 4.668
Ni 2.212 0.000 1.568
Pb 0.000 0.000 3.118

***

[11]
4
Lattice="0.000 3.387 3.387 3.387 0.000 3.387 3.387 3.387 0.000" Properties=species:S:1:pos:R:3 comment="LiYNiPb PBE optimized geometry" sg="F-43m (216)" e_above_lowest_polymorph_ev_per_fu=1.09 pbc="T T T"
Li 0.000 0.000 0.000
Y 5.081 5.081 5.081
Ni 1.694 1.694 1.694
Pb 3.387 3.387 3.387

***

[12]
4
Lattice="0.000 3.341 3.341 3.341 0.000 3.341 3.341 3.341 0.000" Properties=species:S:1:pos:R:3 comment="LiYNiPb PBE optimized geometry" sg="F-43m (216)" e_above_lowest_polymorph_ev_per_fu=0.00 pbc="T T T"
Li 0.000 0.000 0.000
Y 5.011 5.011 5.011
Ni 3.341 3.341 3.341
Pb 1.670 1.670 1.670

***

[13]
4
Lattice="0.000 3.455 3.455 3.455 0.000 3.455 3.455 3.455 0.000" Properties=species:S:1:pos:R:3 comment="LiYNiPb PBE optimized geometry" sg="F-43m (216)" e_above_lowest_polymorph_ev_per_fu=0.96 pbc="T T T"
Li 0.000 0.000 0.000
Y 3.455 3.455 3.455
Ni 5.182 5.182 5.182
Pb 1.727 1.727 1.727

***

[14]
4
Lattice="0.000 3.148 3.148 3.148 0.000 3.148 3.148 3.148 0.000" Properties=species:S:1:pos:R:3 comment="LiZnNiPb PBE optimized geometry" sg="F-43m (216)" e_above_lowest_polymorph_ev_per_fu=0.00 pbc="T T T"
Li 0.000 0.000 0.000
Zn 1.574 1.574 1.574
Ni 3.148 3.148 3.148
Pb 4.722 4.722 4.722

***

[15]
4
Lattice="0.000 3.197 3.197 3.197 0.000 3.197 3.197 3.197 0.000" Properties=species:S:1:pos:R:3 comment="LiZnNiPb PBE optimized geometry" sg="F-43m (216)" e_above_lowest_polymorph_ev_per_fu=0.59 pbc="T T T"
Li 0.000 0.000 0.000
Zn 4.796 4.796 4.796
Ni 1.599 1.599 1.599
Pb 3.197 3.197 3.197

***

[16]
4
Lattice="-1.353 4.147 2.417 1.353 -4.147 2.417 1.353 4.147 -2.417" Properties=species:S:1:pos:R:3 comment="LiNiPd2 PBE optimized geometry" e_tot_ev_per_atom=-4.653 sg="Imm2 (44)" pbc="T T T"
Li 0.000 0.000 0.000
Ni 0.000 4.147 0.070
Pd 1.353 2.121 -0.862
Pd 0.000 2.026 1.555

***

[17]
6
Lattice="2.611 0.000 0.000 -1.305 2.261 0.000 0.000 0.000 12.369" Properties=species:S:1:pos:R:3 comment="Li3Ni2Pd PBE optimized geometry" e_tot_ev_per_atom=-3.795 sg="P-3m1 (164)" pbc="T T T"
Li 0.000 0.000 0.000
Li 0.000 1.507 8.323
Li 1.305 0.754 4.046
Ni 0.000 1.507 2.034
Ni 1.305 0.754 10.335
Pd 0.000 0.000 6.185

***

[18]
4
Lattice="0.000 2.945 2.945 2.945 0.000 2.945 2.945 2.945 0.000" Properties=species:S:1:pos:R:3 comment="Li2NiPd PBE optimized geometry" e_tot_ev_per_atom=-3.810 sg="F-43m (216)" pbc="T T T"
Li 0.000 0.000 0.000
Li 1.473 1.473 1.473
Ni 4.418 4.418 4.418
Pd 2.945 2.945 2.945

***

[19]
4
Lattice="0.000 3.014 3.014 3.014 0.000 3.014 3.014 3.014 0.000" Properties=species:S:1:pos:R:3 comment="LiNiPd2 PBE optimized geometry" e_tot_ev_per_atom=-4.516 sg="F-43m (216)" pbc="T T T"
Li 0.000 0.000 0.000
Ni 1.507 1.507 1.507
Pd 3.014 3.014 3.014
Pd 4.521 4.521 4.521

***

[20]
8
Lattice="4.177 0.000 0.000 0.000 4.177 0.000 0.000 0.000 5.873" Properties=species:S:1:pos:R:3 comment="Li4SiNiPd2 PBE optimized geometry" e_tot_ev_per_atom=-3.992 sg="P-4m2 (115)" pbc="T T T"
Li 0.000 0.000 0.000
Li 0.000 2.089 1.410
Li 2.089 0.000 4.463
Li 2.089 2.089 2.936
Si 0.000 0.000 2.936
Ni 2.089 2.089 0.000
Pd 0.000 2.089 4.302
Pd 2.089 0.000 1.571